Li2DyAg: relaxed, GGA-PBE.

Its crystal system is trigonal.

The structure belongs to space group R-3m (No. 166, hexagonal axes); the cell edges are 3.1549, 3.1549 and 31.1586 Å and the angles 90.00°, 90.00° and 120.00°. The inequivalent atoms are Li at (0.0000, 0.0000, 0.0987), Dy at (0.0000, 0.0000, 0.0000) and Ag at (0.0000, 0.0000, 0.5000).

=====

LiDyAg4: relaxed, GGA-PBE.

Its crystal system is monoclinic.

The structure belongs to space group C2/m (No. 12); the cell edges are 5.183, 9.019 and 5.129 Å and the angles 90.00°, 100.59° and 90.00°. The inequivalent atoms are Li at (0.000, 0.000, 0.000), Dy at (0.000, 0.500, 0.500), Ag at (0.000, 0.165, 0.500) and Ag at (0.000, 0.323, 0.000).

=====

Let's list N(E_F) in order: 0.696, 0.460 states/eV/atom.
Let's list formation enthalpy at 0 K in order: 0.130, -0.169 eV per atom.
Let's list size of the total moment in order: 0.00, 0.00 Bohr magnetons per cell.